Ce6CuTc2 | GGA-PBE | relaxed

Unit cell a=5.5689 b=5.5689 c=8.5265 alpha=97.81 beta=97.81 gamma=53.62
With the nearest neighbours (Å) after each atom.
Atoms (fractional coordinates):
Ce (0.0427, 0.0427, 0.3490)  3 Ce 2.83-2.96, 1 Cu 2.94, 3 Tc 3.02-3.07
Ce (0.3151, 0.3151, 0.9001)  1 Tc 2.37
Ce (0.3841, 0.3841, 0.3224)  3 Tc 2.89-3.06, 2 Ce 2.96
Ce (0.6159, 0.6159, 0.6776)  3 Tc 2.89-3.06, 2 Ce 2.96
Ce (0.6849, 0.6849, 0.0999)  1 Tc 2.37
Ce (0.9573, 0.9573, 0.6510)  3 Ce 2.83-2.96, 1 Cu 2.94, 3 Tc 3.02-3.07
Cu (0.0000, 0.0000, 0.0000)  6 Ce 2.94-3.15
Tc (0.2769, 0.2769, 0.6195)  1 Ce 2.37
Tc (0.7231, 0.7231, 0.3805)  1 Ce 2.37

Values from the calculation:
Crystal system: monoclinic
DFT formation energy, eV per atom: -0.11
Total moment, μB per cell: 0.0
Space group: C2/m